# 1
Cs2WIBr6 (PBE, relaxed); density = 3.90 Mg/m³; symmetry = I4/mmm (139)
1.0
8.596 0.000 0.000
0.000 8.596 0.000
4.298 4.298 6.086
Br I Cs W
6 1 2 1
Direct
0.792 0.792 0.416
0.792 0.208 0.000
0.792 0.792 0.000
0.208 0.792 0.000
0.208 0.208 0.584
0.208 0.208 0.000
0.500 0.500 0.000
0.750 0.250 0.500
0.250 0.750 0.500
0.000 0.000 0.000

# 2
TaSiOs (PBE, relaxed); density = 14.67 Mg/m³; symmetry = Imm2 (44)
1.0
4.798 0.015 -0.008
2.475 4.110 0.008
-3.375 -2.523 2.294
Si Os Ta
1 1 1
Direct
0.342 0.342 0.000
0.990 0.990 0.000
0.668 0.668 0.000

E_form (uncorrected) in meV/atom, matching the order above: -858, -166